[1]
The following is a PBE calculation of a relaxed structure of CuRu2, from Alexandria.

The space group is C2/m (No. 12) and the conventional cell measures 9.5982, 2.7624 and 6.3019 Å, with angles of 90.00, 105.17 and 90.00 degrees. The inequivalent atoms are Cu at (0.0214, 0.0000, 0.3054), Ru at (0.1440, 0.5000, 0.0432) and Ru at (0.1978, 0.5000, 0.6344).

As for the energy above the lowest structure with this stoichiometry: 6 kJ/mol of formula units. The calculation puts the total magnetization at 0.0 Bohr magnetons per cell. Its mass density is 10.94 g cm⁻³.

=====

[2]
The following is a PBE calculation of a relaxed structure of CuRu3, from Alexandria.

The space group is P-6m2 (No. 187) and the conventional cell measures 2.7159, 2.7159 and 8.5676 Å, with angles of 90.00, 90.00 and 120.00 degrees. The inequivalent atoms are Cu at (0.0000, 0.0000, 0.0000), Ru at (0.0000, 0.0000, 0.5000) and Ru at (0.3333, 0.6667, 0.2545).

The calculation puts the total magnetization at 0.0 Bohr magnetons per cell. The electronic total energy comes out at -7.8610 eV/atom. Its mass density is 11.13 g cm⁻³.

=====

[3]
The following is a PBE calculation of a relaxed structure of CuRu3, from Alexandria.

The space group is R-3m (No. 166, hexagonal axes) and the conventional cell measures 2.6889, 2.6889 and 26.2253 Å, with angles of 90.00, 90.00 and 120.00 degrees. The inequivalent atoms are Cu at (0.0000, 0.0000, 0.0000), Ru at (0.0000, 0.0000, 0.2493) and Ru at (0.0000, 0.0000, 0.5000).

The calculation puts the total magnetization at 0.0 Bohr magnetons per cell. The electronic total energy comes out at -7.8079 eV/atom. Its mass density is 11.13 g cm⁻³.